Run A
VASP calculation (PBE) on an optimized crystal structure of TcAg2Rh.

Unit cell a=9.6693 b=2.7662 c=4.7895 alpha=90.00 beta=99.05 gamma=90.00
Space group C2/m (No. 12)
Inequivalent atoms, fractional coordinates:
Tc  0.0000  0.0000  0.0000 (multiplicity 2)
Ag  0.2503  0.0000  0.7498 (multiplicity 4)
Rh  0.0000  0.5000  0.5000 (multiplicity 2)

M_tot: 0.0 μB/cell

=====

Run B
VASP calculation (PBE) on an optimized crystal structure of TcAg2Rh.

Unit cell a=2.6745 b=2.6745 c=8.9086 alpha=90.00 beta=90.00 gamma=90.00
Space group P4/mmm (No. 123)
Inequivalent atoms, fractional coordinates:
Tc  0.0000  0.0000  0.0000 (multiplicity 1)
Ag  0.5000  0.5000  0.2533 (multiplicity 2)
Rh  0.0000  0.0000  0.5000 (multiplicity 1)

M_tot: 0.4 μB/cell

=====

Run C
VASP calculation (PBE) on an optimized crystal structure of TcAg2Rh.

Unit cell a=6.3421 b=6.3421 c=6.3421 alpha=90.00 beta=90.00 gamma=90.00
Space group Fm-3m (No. 225)
Inequivalent atoms, fractional coordinates:
Tc  0.0000  0.0000  0.0000 (multiplicity 4)
Ag  0.2500  0.2500  0.2500 (multiplicity 8)
Rh  0.0000  0.0000  0.5000 (multiplicity 4)

M_tot: 1.1 μB/cell

=====

Which is most stable, and by how much? run A, by 5.3 kJ/mol of atoms.

=====

Run A
VASP calculation (PBE) on an optimized crystal structure of TcAg2Rh.

Unit cell a=6.3514 b=6.3514 c=6.3514 alpha=90.00 beta=90.00 gamma=90.00
Space group F-43m (No. 216)
Inequivalent atoms, fractional coordinates:
Tc  0.0000  0.0000  0.0000 (multiplicity 4)
Ag  0.0000  0.0000  0.5000 (multiplicity 4)
Ag  0.2500  0.2500  0.2500 (multiplicity 4)
Rh  0.2500  0.2500  0.7500 (multiplicity 4)

M_tot: 0.0 μB/cell

=====

Run B
VASP calculation (PBE) on an optimized crystal structure of TcAg2Rh.

Unit cell a=2.8480 b=4.6299 c=9.7563 alpha=90.00 beta=90.00 gamma=90.00
Space group Cmmm (No. 65)
Inequivalent atoms, fractional coordinates:
Tc  0.0000  0.0000  0.0000 (multiplicity 2)
Ag  0.0000  0.5000  0.2529 (multiplicity 4)
Rh  0.0000  0.0000  0.5000 (multiplicity 2)

M_tot: 0.6 μB/cell

=====

Run C
VASP calculation (PBE) on an optimized crystal structure of TcAg2Rh.

Unit cell a=5.2696 b=8.9599 c=2.7048 alpha=90.00 beta=90.00 gamma=90.00
Space group Cmmm (No. 65)
Inequivalent atoms, fractional coordinates:
Tc  0.0000  0.0000  0.0000 (multiplicity 2)
Ag  0.2500  0.2500  0.5000 (multiplicity 4)
Rh  0.0000  0.5000  0.0000 (multiplicity 2)

M_tot: 0.0 μB/cell

=====

Run D
VASP calculation (PBE) on an optimized crystal structure of TcAg2Rh.

Unit cell a=4.0381 b=4.0381 c=7.7821 alpha=90.00 beta=90.00 gamma=90.00
Space group I-4m2 (No. 119)
Inequivalent atoms, fractional coordinates:
Tc  0.0000  0.0000  0.0000 (multiplicity 2)
Ag  0.0000  0.0000  0.5000 (multiplicity 2)
Ag  0.0000  0.5000  0.7500 (multiplicity 2)
Rh  0.0000  0.5000  0.2500 (multiplicity 2)

M_tot: 2.5 μB/cell

=====

Which is most stable, and by how much? run B, by 1.7 kJ/mol of atoms.